1.
This record from Alexandria describes an optimized crystal structure of ReRu2Rh. The functional is GGA-PBEsol.

Computed properties:
Excess energy over the best structure of this formula in the dataset ... 11.68 kJ per mole of atoms
DFT formation energy ... 0.026 eV per atom
Calculated density ... 14.93 g cm⁻³
Size of the total moment ... 0.0 μB/cell
Energy ... -10.427 eV/atom

Cell: 2.6765 4.6489 4.6553 Å, 99.48 90.00 106.73°
Element x y z (fractional)
Re  0.5006  0.0013  0.5008
Ru  0.2510  0.5019  0.7535
Ru  0.9978  0.9956  0.9933
Rh  0.7506  0.5013  0.2525

***

2.
This record from Alexandria describes an optimized crystal structure of ReRu2Rh. The functional is GGA-PBEsol.

Computed properties:
Excess energy over the best structure of this formula in the dataset ... 12.13 kJ per mole of atoms
DFT formation energy ... 0.031 eV per atom
Calculated density ... 14.93 g cm⁻³
Size of the total moment ... 0.0 μB/cell
Energy ... -10.423 eV/atom

Cell: 2.6733 3.8040 5.3739 Å, 90.00 90.00 90.00°
Element x y z (fractional)
Re  0.5000  0.5000  0.0000
Ru  0.0000  0.0000  0.7508
Rh  0.5000  0.5000  0.5000
Ru  0.0000  0.0000  0.2492

***

3.
This record from Alexandria describes an optimized crystal structure of ReRu2Rh. The functional is GGA-PBEsol.

Computed properties:
Excess energy over the best structure of this formula in the dataset ... 12.03 kJ per mole of atoms
DFT formation energy ... 0.030 eV per atom
Calculated density ... 14.93 g cm⁻³
Size of the total moment ... 0.0 μB/cell
Energy ... -10.424 eV/atom

Cell: 2.6881 4.6371 4.6371 Å, 109.10 90.00 90.00°
Element x y z (fractional)
Re  0.5000  0.0000  0.0000
Ru  0.0000  0.5000  0.0000
Rh  0.5000  0.5000  0.5000
Ru  0.0000  0.0000  0.5000

***

4.
This record from Alexandria describes an optimized crystal structure of ReRu2Rh. The functional is GGA-PBEsol.

Computed properties:
Excess energy over the best structure of this formula in the dataset ... 0.00 kJ per mole of atoms
DFT formation energy ... -0.095 eV per atom
Calculated density ... 15.01 g cm⁻³
Size of the total moment ... 0.0 μB/cell
Energy ... -10.548 eV/atom

Cell: 2.6987 4.2891 4.6938 Å, 90.00 90.00 90.00°
Element x y z (fractional)
Ru  0.5000  0.0000  0.9555
Ru  0.0000  0.5000  0.7913
Rh  0.5000  0.5000  0.2897
Re  0.0000  0.0000  0.4635

***

5.
This record from Alexandria describes an optimized crystal structure of ReRu2Rh. The functional is GGA-PBEsol.

Computed properties:
Excess energy over the best structure of this formula in the dataset ... 12.04 kJ per mole of atoms
DFT formation energy ... 0.030 eV per atom
Calculated density ... 14.91 g cm⁻³
Size of the total moment ... 0.0 μB/cell
Energy ... -10.424 eV/atom

Cell: 2.6881 2.6881 7.5711 Å, 90.00 90.00 90.00°
Element x y z (fractional)
Re  0.5000  0.5000  0.0000
Ru  0.0000  0.0000  0.2493
Ru  0.0000  0.0000  0.7507
Rh  0.5000  0.5000  0.5000

***

6.
This record from Alexandria describes an optimized crystal structure of ReRhS2. The functional is GGA-PBEsol.

Computed properties:
E_form (uncorrected) ... 149 meV/atom
Calculated density ... 11.21 g cm⁻³
Size of the total moment ... 0.0 μB/cell
Energy ... -7.411 eV/atom

Cell: 4.1987 4.1987 4.1987 Å, 60.00 60.00 60.00°
Element x y z (fractional)
Rh  0.0000  0.0000  0.0000
Re  0.5000  0.5000  0.5000
S  0.7500  0.7500  0.7500
S  0.2500  0.2500  0.2500

***

7.
This record from Alexandria describes an optimized crystal structure of ZnRe2RhS. The functional is GGA-PBEsol.

Computed properties:
E_form (uncorrected) ... 2304 meV/atom
Calculated density ... 11.18 g cm⁻³
Size of the total moment ... 0.0 μB/cell
Energy ... -5.850 eV/atom

Cell: 4.1403 4.5328 4.5328 Å, 90.00 90.00 90.00°
Element x y z (fractional)
Re  0.0000  0.0000  0.5000
S  0.5000  0.0000  0.0000
Rh  0.5000  0.5000  0.5000
Re  0.0000  0.5000  0.0000
Zn  0.0000  0.0000  0.0000

***

8.
This record from Alexandria describes an optimized crystal structure of ReSbRh2. The functional is GGA-PBEsol.

Computed properties:
E_form (uncorrected) ... 71 meV/atom
Calculated density ... 14.13 g cm⁻³
Size of the total moment ... 0.0 μB/cell
Energy ... -8.471 eV/atom

Cell: 3.9177 3.9177 4.8112 Å, 114.03 114.03 90.00°
Element x y z (fractional)
Sb  0.0000  0.0000  0.0000
Rh  0.7500  0.2500  0.5000
Re  0.5000  0.5000  0.0000
Rh  0.2500  0.7500  0.5000